Here is an optimized crystal structure of CoOF from the Alexandria database. Energies are from GGA+U.

Cell and atoms, written as CIF:
```
data_CoOF
_cell_length_a 4.641
_cell_length_b 2.982
_cell_length_c 18.234
_cell_angle_alpha 90.00
_cell_angle_beta 92.38
_cell_angle_gamma 90.00
_space_group_name_H-M_alt 'P 1 m 1'
_space_group_IT_number 6
_space_group_name_Hall 'P -2y'
loop_
_atom_site_label
_atom_site_fract_x
_atom_site_fract_y
_atom_site_fract_z
Co1 0.000 0.000 0.000
Co2 0.026 0.000 0.244
Co3 0.361 0.500 0.621
Co4 0.409 0.500 0.876
Co5 0.467 0.500 0.369
Co6 0.580 0.500 0.120
Co7 0.809 0.000 0.748
Co8 0.907 0.000 0.493
O1 0.079 0.500 0.544
O2 0.198 0.500 0.295
O3 0.256 0.000 0.926
O4 0.568 0.000 0.824
O5 0.635 0.500 0.694
O6 0.723 0.000 0.070
O7 0.742 0.500 0.443
O8 0.860 0.500 0.191
F1 0.058 0.500 0.793
F2 0.135 0.000 0.671
F3 0.228 0.500 0.052
F4 0.260 0.000 0.417
F5 0.388 0.000 0.169
F6 0.562 0.000 0.569
F7 0.676 0.000 0.319
F8 0.784 0.500 0.949
```

## Properties
DOS(E_F)   4.56 states/eV per cell
Crystal system   monoclinic
Excess energy over the best structure of this formula in the dataset   27 meV per atom